This record from the Alexandria database describes an optimized crystal structure of BeCu2. The functional is GGA-PBE.

Properties
* E_form: -0.175 eV/f.u.
* calculated total energy: -0.2963 Ry/atom

CIF file:
```
data_BeCu2
_cell_length_a 2.632
_cell_length_b 2.632
_cell_length_c 9.101
_cell_angle_alpha 90.00
_cell_angle_beta 90.00
_cell_angle_gamma 90.00
_symmetry_space_group_name_H-M 'P 4/m m m'
_symmetry_Int_Tables_number 123
_symmetry_space_group_name_Hall '-P 4 2'
loop_
_atom_site_label
_atom_site_fract_x
_atom_site_fract_y
_atom_site_fract_z
Be1 0.000 0.000 0.152
Cu1 0.000 0.000 0.500
Cu2 0.500 0.500 0.000
Cu3 0.500 0.500 0.306
```